1.
A relaxed CdSi2 crystal, computed with PBE.

Output
**Excess energy over the best structure of this formula in the dataset**: 0.0010 eV/atom

abc: 4.354 4.354 6.198
angles: 90.00 90.00 90.00
Space group P4/nmm (No. 129, origin choice 2)
Inequivalent atoms, fractional coordinates:
1 Cd 0.250 0.250 0.130 (multiplicity 2)
2 Si 0.250 0.250 0.696 (multiplicity 2)
3 Si 0.250 0.750 0.500 (multiplicity 2)

***

2.
A relaxed Cd3Si4 crystal, computed with PBE.

Output
**Excess energy over the best structure of this formula in the dataset**: 0.4682 eV/atom

abc: 5.456 5.456 5.456
angles: 90.00 90.00 90.00
Space group Pm-3m (No. 221)
Inequivalent atoms, fractional coordinates:
1 Cd 0.000 0.000 0.500 (multiplicity 3)
2 Si 0.000 0.000 0.000 (multiplicity 1)
3 Si 0.000 0.500 0.500 (multiplicity 3)

***

3.
A relaxed Cd2Si crystal, computed with PBE.

abc: 8.643 5.153 2.932
angles: 90.00 103.40 90.00
Space group C2/m (No. 12)
Inequivalent atoms, fractional coordinates:
1 Cd 0.161 0.000 0.361 (multiplicity 4)
2 Si 0.000 0.500 0.500 (multiplicity 2)

***

4.
A relaxed Cd2Si crystal, computed with PBE.

abc: 6.134 6.134 4.164
angles: 90.00 90.00 90.00
Space group P4_2/mnm (No. 136)
Inequivalent atoms, fractional coordinates:
1 Cd 0.198 0.198 0.000 (multiplicity 4)
2 Si 0.000 0.000 0.500 (multiplicity 2)

***

5.
A relaxed Cd2Si crystal, computed with PBE.

abc: 4.9770 4.9770 5.8995
angles: 90.00 90.00 120.00
Space group P6_3/mmc (No. 194)
Inequivalent atoms, fractional coordinates:
1 Cd 0.0000 0.0000 0.0000 (multiplicity 2)
2 Cd 0.3333 0.6667 0.2500 (multiplicity 2)
3 Si 0.3333 0.6667 0.7500 (multiplicity 2)

***

6.
A relaxed Cd4Si crystal, computed with PBE.

Output
**Excess energy over the best structure of this formula in the dataset**: 0.1571 eV/atom

abc: 4.015 4.015 14.582
angles: 90.00 90.00 90.00
Space group I4/mmm (No. 139)
Inequivalent atoms, fractional coordinates:
1 Cd 0.000 0.000 0.094 (multiplicity 4)
2 Cd 0.000 0.500 0.250 (multiplicity 4)
3 Si 0.000 0.000 0.500 (multiplicity 2)

***

7.
A relaxed CdSi5 crystal, computed with PBE.

Output
**Excess energy over the best structure of this formula in the dataset**: 0.1264 eV/atom

abc: 7.384 7.384 7.384
angles: 90.00 90.00 90.00
Space group F-43m (No. 216)
Inequivalent atoms, fractional coordinates:
1 Cd 0.000 0.000 0.000 (multiplicity 4)
2 Si 0.125 0.125 0.375 (multiplicity 16)
3 Si 0.250 0.250 0.750 (multiplicity 4)

***

8.
A relaxed Cd7Si6 crystal, computed with PBE.

abc: 5.7902 5.7902 28.8405
angles: 90.00 90.00 120.00
Space group R-3m (No. 166, hexagonal axes)
Inequivalent atoms, fractional coordinates:
1 Cd 0.0000 0.0000 0.0000 (multiplicity 3)
2 Cd 0.0022 0.5011 0.4192 (multiplicity 18)
3 Si 0.0000 0.0000 0.1648 (multiplicity 6)
4 Si 0.0000 0.0000 0.3302 (multiplicity 6)
5 Si 0.0000 0.0000 0.4587 (multiplicity 6)

***

9.
A relaxed CdSi2 crystal, computed with PBE.

Output
**Excess energy over the best structure of this formula in the dataset**: 0.1426 eV/atom

abc: 4.7772 4.7772 6.0046
angles: 90.00 90.00 120.00
Space group P6_3/mmc (No. 194)
Inequivalent atoms, fractional coordinates:
1 Cd 0.0000 0.0000 0.0000 (multiplicity 2)
2 Si 0.3333 0.6667 0.0495 (multiplicity 4)

***

10.
A relaxed CdSi3 crystal, computed with PBE.

Output
**Excess energy over the best structure of this formula in the dataset**: 0.0762 eV/atom

abc: 3.242 3.242 6.873
angles: 90.00 90.00 90.00
Space group P4/mmm (No. 123)
Inequivalent atoms, fractional coordinates:
1 Cd 0.000 0.000 0.000 (multiplicity 1)
2 Si 0.000 0.000 0.500 (multiplicity 1)
3 Si 0.500 0.500 0.320 (multiplicity 2)

***

11.
A relaxed Cd5Si4 crystal, computed with PBE.

Output
**Excess energy over the best structure of this formula in the dataset**: 0.0000 eV/atom

abc: 10.914 10.914 3.224
angles: 90.00 90.00 90.00
Space group I4/mmm (No. 139)
Inequivalent atoms, fractional coordinates:
1 Cd 0.000 0.000 0.000 (multiplicity 2)
2 Cd 0.168 0.168 0.500 (multiplicity 8)
3 Si 0.000 0.374 0.000 (multiplicity 8)

***

12.
A relaxed CdSi2 crystal, computed with PBE.

Output
**Excess energy over the best structure of this formula in the dataset**: 0.0769 eV/atom

abc: 5.094 5.141 8.870
angles: 90.00 90.00 90.00
Space group Imma (No. 74)
Inequivalent atoms, fractional coordinates:
1 Cd 0.000 0.250 0.110 (multiplicity 4)
2 Si 0.000 0.250 0.435 (multiplicity 4)
3 Si 0.000 0.250 0.705 (multiplicity 4)

***

Computed E_form (uncorrected), in the same sequence as the records: 339, 853, 353, 311, 400, 372, 614, 579, 480, 452, 336, 415 meV per atom.
Computed total DFT energy (no corrections), in the same sequence as the records: -3.58, -2.64, -2.07, -2.11, -2.02, -1.44, -4.06, -2.42, -3.44, -3.84, -2.58, -3.51 eV/atom.